[1]
# InI2BrO

An optimized crystal structure of InI2BrO (PBE, Alexandria via LeMat-Bulk).

The space group is P4/mmm (No. 123) and the conventional cell measures 6.171, 6.171 and 4.061 Å, with angles of 90.00, 90.00 and 90.00 degrees. The asymmetric unit holds In at (0.000, 0.000, 0.000), I at (0.000, 0.500, 0.500), Br at (0.500, 0.500, 0.500) and O at (0.500, 0.500, 0.000).

As for the distance to the lowest polymorph of the same formula: 354 meV per atom.


[2]
# InI2BrO

An optimized crystal structure of InI2BrO (PBE, Alexandria via LeMat-Bulk).

The space group is P4/mmm (No. 123) and the conventional cell measures 6.361, 6.361 and 3.906 Å, with angles of 90.00, 90.00 and 90.00 degrees. The asymmetric unit holds In at (0.000, 0.000, 0.000), I at (0.000, 0.500, 0.000), Br at (0.500, 0.500, 0.500) and O at (0.000, 0.000, 0.500).

As for the distance to the lowest polymorph of the same formula: 0 meV per atom.


[3]
# PaIn3I2Br6

An optimized crystal structure of PaIn3I2Br6 (PBE, Alexandria via LeMat-Bulk).

The space group is C2/m (No. 12) and the conventional cell measures 16.805, 9.287 and 6.678 Å, with angles of 90.00, 91.18 and 90.00 degrees. The asymmetric unit holds Pa at (0.000, 0.000, 0.000), In at (0.000, 0.500, 0.500), In at (0.250, 0.250, 0.000), I at (0.176, 0.500, 0.304), Br at (0.069, 0.209, 0.771) and Br at (0.136, 0.000, 0.234).


[4]
# PaIn3I6Br2

An optimized crystal structure of PaIn3I6Br2 (PBE, Alexandria via LeMat-Bulk).

The space group is C2/m (No. 12) and the conventional cell measures 17.417, 9.190 and 7.288 Å, with angles of 90.00, 100.27 and 90.00 degrees. The asymmetric unit holds Pa at (0.000, 0.000, 0.000), In at (0.000, 0.500, 0.500), In at (0.250, 0.250, 0.000), I at (0.091, 0.228, 0.232), I at (0.120, 0.000, 0.759) and Br at (0.162, 0.500, 0.756).


[5]
# In2PbI2Br6

An optimized crystal structure of In2PbI2Br6 (PBE, Alexandria via LeMat-Bulk).

The space group is P-3 (No. 147) and the conventional cell measures 7.3389, 7.3389 and 10.8326 Å, with angles of 90.00, 90.00 and 120.00 degrees. The asymmetric unit holds In at (0.3333, 0.6667, 0.2468), Pb at (0.0000, 0.0000, 0.5000), I at (0.3333, 0.6667, 0.0008) and Br at (0.0004, 0.3462, 0.6613).


[6]
# InPbIBr4

An optimized crystal structure of InPbIBr4 (PBE, Alexandria via LeMat-Bulk).

The space group is C2/m (No. 12) and the conventional cell measures 13.462, 9.488 and 10.450 Å, with angles of 90.00, 105.88 and 90.00 degrees. The asymmetric unit holds In at (0.144, 0.000, 0.268), Pb at (0.171, 0.500, 0.028), I at (0.018, 0.500, 0.208), Br at (0.048, 0.000, 0.830), Br at (0.207, 0.000, 0.514) and Br at (0.237, 0.201, 0.170).


no.,raw formation energy (meV per atom),mass density (g/cm³)
1,227,4.988
2,-126,4.881
3,-955,4.171
4,-742,4.330
5,-735,3.845
6,-743,3.976